(1)
This record from Alexandria describes crystalline CsNaGaF6 at its relaxed geometry. The functional is PBE.

```
CsNaGaF6
1.0
-3.661 3.840 5.544
3.661 -3.840 5.544
3.661 3.840 -5.544
Cs Na Ga F
2 2 2 12
Direct
0.394 0.144 0.250 Cs
0.606 0.856 0.750 Cs
0.000 0.000 0.500 Na
0.000 0.500 0.000 Na
0.000 0.500 0.500 Ga
0.500 0.500 0.000 Ga
0.097 0.442 0.295 F
0.097 0.802 0.654 F
0.126 0.876 0.250 F
0.285 0.535 0.750 F
0.352 0.198 0.795 F
0.352 0.558 0.154 F
0.648 0.442 0.846 F
0.648 0.802 0.205 F
0.715 0.465 0.250 F
0.874 0.124 0.750 F
0.903 0.198 0.346 F
0.903 0.558 0.705 F
```

Computed properties:
- formation energy from raw total energies (eV/atom) = -2.42
- D(E_F) (states/eV per cell) = 12.56
- electronic total energy (eV for the cell shown) = -76.385
- SG = Imma (74)
- size of the total moment (μB/f.u.) = 1.04
- calculated volume (Å³ per cell) = 311.71

=====

(2)
This record from Alexandria describes crystalline Cs2NaGaF6 at its relaxed geometry. The functional is PBE.

```
Cs2NaGaF6
1.0
3.169 1.830 10.267
-3.169 1.830 10.267
0.000 -3.659 10.267
Cs Na Ga F
4 2 2 12
Direct
0.128 0.128 0.128 Cs
0.282 0.282 0.282 Cs
0.718 0.718 0.718 Cs
0.872 0.872 0.872 Cs
0.403 0.403 0.403 Na
0.597 0.597 0.597 Na
0.000 0.000 0.000 Ga
0.500 0.500 0.500 Ga
0.180 0.603 0.603 F
0.182 0.182 0.745 F
0.182 0.745 0.182 F
0.255 0.818 0.818 F
0.397 0.397 0.820 F
0.397 0.820 0.397 F
0.603 0.180 0.603 F
0.603 0.603 0.180 F
0.745 0.182 0.182 F
0.818 0.255 0.818 F
0.818 0.818 0.255 F
0.820 0.397 0.397 F
```

Computed properties:
- formation energy from raw total energies (eV/atom) = -2.82
- D(E_F) (states/eV per cell) = 0.00
- electronic total energy (eV for the cell shown) = -90.876
- SG = R-3m (166)
- size of the total moment (μB/f.u.) = 0.04
- calculated volume (Å³ per cell) = 357.19